[1]
Hg2RhPb, relaxed, DFT PBE-GGA; density = 13607 kg/m³; formation energy = 0.25 eV/atom
1.0
4.114 0.000 0.000
0.000 4.114 0.000
0.000 0.000 5.128
Hg Rh Pb
2 1 1
Direct
0.000 0.500 0.000
0.500 0.000 0.000
0.000 0.000 0.500
0.500 0.500 0.500



[2]
HgRhPb, relaxed, DFT PBE-GGA; density = 12829 kg/m³; relative energy among the computed polymorphs = 109.1 meV/atom; formation energy = 0.09 eV/atom
1.0
-1.628 1.628 6.233
1.628 -1.628 6.233
1.628 1.628 -6.233
Hg Rh Pb
1 1 1
Direct
0.000 0.000 0.000
0.639 0.639 0.000
0.279 0.279 0.000



Copy entry 1 word for word.
Hg2RhPb, relaxed, DFT PBE-GGA; density = 13607 kg/m³; formation energy = 0.25 eV/atom
1.0
4.114 0.000 0.000
0.000 4.114 0.000
0.000 0.000 5.128
Hg Rh Pb
2 1 1
Direct
0.000 0.500 0.000
0.500 0.000 0.000
0.000 0.000 0.500
0.500 0.500 0.500